Record 1
This record from Alexandria describes a geometry-optimized NbNiBi structure. The functional is PBE-GGA.

Properties
Its formation energy is 0.10 eV per atom. The total energy comes out at -6.47 eV/atom.

Cell lengths 3.3851, 5.4715, 6.5917 Å; angles 90.00, 93.48, 90.00 degrees
Space group P2_1/m (No. 11)
Asymmetric unit:
1 Nb 0.0000 0.0000 0.0000 [2 per cell]
2 Ni 0.4765 0.2500 0.7670 [2 per cell]
3 Bi 0.4488 0.7500 0.6663 [2 per cell]



Record 2
This record from Alexandria describes a geometry-optimized Nb2NiBi structure. The functional is PBE-GGA.

Properties
Its formation energy is 0.39 eV per atom. The total energy comes out at -7.06 eV/atom.

Cell lengths 7.3724, 7.3724, 5.6661 Å; angles 90.00, 90.00, 90.00 degrees
Space group I-42d (No. 122)
Asymmetric unit:
1 Nb 0.2128 0.2500 0.1250 [8 per cell]
2 Ni 0.0000 0.0000 0.0000 [4 per cell]
3 Bi 0.0000 0.0000 0.5000 [4 per cell]



Record 3
This record from Alexandria describes a geometry-optimized Nb2NiBi2 structure. The functional is PBE-GGA.

Properties
Its formation energy is 0.39 eV per atom. The total energy comes out at -6.34 eV/atom. Its excess energy over the best structure of this formula in the dataset is 0 meV/atom.

Cell lengths 6.8626, 6.8626, 4.4922 Å; angles 90.00, 90.00, 90.00 degrees
Space group P4/mbm (No. 127)
Asymmetric unit:
1 Nb 0.1450 0.3550 0.0000 [4 per cell]
2 Ni 0.0000 0.0000 0.0000 [2 per cell]
3 Bi 0.1689 0.6689 0.5000 [4 per cell]



Record 4
This record from Alexandria describes a geometry-optimized Nb3NiBi structure. The functional is PBE-GGA.

Properties
Its formation energy is 0.62 eV per atom. The total energy comes out at -7.36 eV/atom. Its excess energy over the best structure of this formula in the dataset is 0 meV/atom.

Cell lengths 4.6885, 4.6885, 4.6885 Å; angles 90.00, 90.00, 90.00 degrees
Space group Pm-3m (No. 221)
Asymmetric unit:
1 Nb 0.0000 0.0000 0.5000 [3 per cell]
2 Ni 0.0000 0.0000 0.0000 [1 per cell]
3 Bi 0.5000 0.5000 0.5000 [1 per cell]



Record 5
This record from Alexandria describes a geometry-optimized Nb3NiBi structure. The functional is PBE-GGA.

Properties
Its formation energy is 2.26 eV per atom. The total energy comes out at -5.71 eV/atom. Its excess energy over the best structure of this formula in the dataset is 1645 meV/atom.

Cell lengths 5.1236, 5.1236, 5.1236 Å; angles 90.00, 90.00, 90.00 degrees
Space group Pm-3m (No. 221)
Asymmetric unit:
1 Nb 0.0000 0.0000 0.5000 [3 per cell]
2 Ni 0.5000 0.5000 0.5000 [1 per cell]
3 Bi 0.0000 0.0000 0.0000 [1 per cell]



Record 6
This record from Alexandria describes a geometry-optimized Nb2NiBi2 structure. The functional is PBE-GGA.

Properties
Its formation energy is 0.96 eV per atom. The total energy comes out at -5.78 eV/atom. Its excess energy over the best structure of this formula in the dataset is 566 meV/atom.

Cell lengths 4.2302, 4.2302, 13.5358 Å; angles 90.00, 90.00, 90.00 degrees
Space group I4/mmm (No. 139)
Asymmetric unit:
1 Nb 0.0000 0.0000 0.0870 [4 per cell]
2 Ni 0.0000 0.0000 0.5000 [2 per cell]
3 Bi 0.0000 0.5000 0.2500 [4 per cell]



Record 7
This record from Alexandria describes a geometry-optimized NbNiBiSe3 structure. The functional is PBE-GGA.

Properties
The energy relative to the elements, uncorrected is -2.92 eV/f.u. The total energy comes out at -5.52 eV/atom.

Cell lengths 9.0646, 3.5759, 9.9911 Å; angles 90.00, 114.34, 90.00 degrees
Space group P2_1/m (No. 11)
Asymmetric unit:
1 Nb 0.0336 0.2500 0.2087 [2 per cell]
2 Ni 0.0254 0.7500 0.4137 [2 per cell]
3 Bi 0.4777 0.7500 0.1163 [2 per cell]
4 Se 0.1551 0.2500 0.9983 [2 per cell]
5 Se 0.1685 0.7500 0.6759 [2 per cell]
6 Se 0.2470 0.7500 0.3442 [2 per cell]



Record 8
This record from Alexandria describes a geometry-optimized NbSiNi2Bi structure. The functional is PBE-GGA.

Properties
The energy relative to the elements, uncorrected is 7.11 eV/f.u. The total energy comes out at -4.77 eV/atom.

Cell lengths 4.6089, 4.6089, 5.3558 Å; angles 90.00, 90.00, 90.00 degrees
Space group P4/mmm (No. 123)
Asymmetric unit:
1 Nb 0.0000 0.0000 0.0000 [1 per cell]
2 Si 0.5000 0.5000 0.0000 [1 per cell]
3 Ni 0.0000 0.5000 0.5000 [2 per cell]
4 Bi 0.0000 0.0000 0.5000 [1 per cell]



Record 9
This record from Alexandria describes a geometry-optimized NpNbBi structure. The functional is PBE-GGA.

Properties
Its formation energy is 0.30 eV per atom. The total energy comes out at -8.67 eV/atom.

Cell lengths 11.7513, 3.4554, 8.1593 Å; angles 90.00, 112.21, 90.00 degrees
Space group C2/m (No. 12)
Asymmetric unit:
1 Np 0.0810 0.0000 0.2247 [4 per cell]
2 Nb 0.1466 0.5000 0.9506 [4 per cell]
3 Bi 0.1608 0.0000 0.6620 [4 per cell]



Record 10
This record from Alexandria describes a geometry-optimized NpNbBi2 structure. The functional is PBE-GGA.

Properties
Its formation energy is 0.60 eV per atom. The total energy comes out at -7.10 eV/atom.

Cell lengths 3.2366, 3.2366, 34.4683 Å; angles 90.00, 90.00, 120.00 degrees
Space group R-3m (No. 166, hexagonal axes)
Asymmetric unit:
1 Np 0.0000 0.0000 0.0000 [3 per cell]
2 Nb 0.0000 0.0000 0.5000 [3 per cell]
3 Bi 0.0000 0.0000 0.4147 [6 per cell]



Record 11
This record from Alexandria describes a geometry-optimized NbBiO4 structure. The functional is PBE-GGA.

Properties
The energy relative to the elements, uncorrected is -12.36 eV/f.u. The total energy comes out at -7.69 eV/atom.

Cell lengths 5.5749, 7.7701, 8.0409 Å; angles 101.18, 90.14, 92.69 degrees
Space group P-1 (No. 2)
Asymmetric unit:
1 Nb 0.2206 0.3457 0.1760 [2 per cell]
2 Nb 0.2477 0.3274 0.6763 [2 per cell]
3 Bi 0.2353 0.8786 0.1269 [2 per cell]
4 Bi 0.2874 0.8336 0.6278 [2 per cell]
5 O 0.0040 0.8945 0.8216 [2 per cell]
6 O 0.0406 0.8229 0.3640 [2 per cell]
7 O 0.0840 0.5565 0.7195 [2 per cell]
8 O 0.1435 0.3235 0.9459 [2 per cell]
9 O 0.3155 0.3293 0.4492 [2 per cell]
10 O 0.4346 0.5474 0.2110 [2 per cell]
11 O 0.4439 0.1087 0.6803 [2 per cell]
12 O 0.4640 0.1589 0.1406 [2 per cell]



Record 12
This record from Alexandria describes a geometry-optimized NbBiO2 structure. The functional is PBE-GGA.

Properties
The energy relative to the elements, uncorrected is -5.89 eV/f.u. The total energy comes out at -7.44 eV/atom.

Cell lengths 3.1895, 3.1895, 28.5638 Å; angles 90.00, 90.00, 120.00 degrees
Space group R-3m (No. 166, hexagonal axes)
Asymmetric unit:
1 Nb 0.0000 0.0000 0.0000 [3 per cell]
2 Bi 0.0000 0.0000 0.5000 [3 per cell]
3 O 0.0000 0.0000 0.3696 [6 per cell]



Which formula does entry 12 have? NbBiO2



What is the formula in the second record? Nb2NiBi



Number 9 is which compound? NpNbBi